# 1
First-principles (meta-GGA SCAN) data for NiRu at its PBEsol-relaxed geometry, as listed in Alexandria via LeMat-Bulk.

Properties
symmetry	Fm-3m (225)
V	13.8	Å³ per atom
E_form	0.963	eV per atom
total magnetization	2.7	Bohr magnetons per cell

Lattice parameters (Å, degrees): 3.391 3.391 3.391 60.00 60.00 60.00
Each line ends with the local moment (μB).
Positions (direct):
Ru 0.500 0.500 0.500  1.86
Ni 0.000 0.000 0.000  0.88

---

# 2
First-principles (meta-GGA SCAN) data for NiRuS4 at its PBEsol-relaxed geometry, as listed in Alexandria via LeMat-Bulk.

Properties
symmetry	P2_1/c (14)
uncorrected formation energy	-0.53	eV per atom
V	14.3	Å³ per atom
total magnetization	3.9	Bohr magnetons per cell

Lattice parameters (Å, degrees): 5.507 5.575 5.587 90.00 90.70 90.00
Each line ends with the local moment (μB).
Positions (direct):
S 0.609 0.388 0.606  0.12
S 0.887 0.888 0.612  0.06
S 0.113 0.388 0.888  0.06
S 0.391 0.888 0.894  0.12
S 0.609 0.112 0.106  0.12
S 0.887 0.612 0.112  0.06
S 0.113 0.112 0.388  0.06
S 0.391 0.612 0.394  0.12
Ni 0.500 0.500 0.000  1.29
Ni 0.500 0.000 0.500  1.29
Ru 0.000 0.000 0.000  0.14
Ru 0.000 0.500 0.500  0.14

---

# 3
First-principles (meta-GGA SCAN) data for NiSb6Ru at its PBEsol-relaxed geometry, as listed in Alexandria via LeMat-Bulk.

Properties
symmetry	C2/m (12)
uncorrected formation energy	-0.24	eV per atom
V	24.0	Å³ per atom
total magnetization	0.0	Bohr magnetons per cell

Lattice parameters (Å, degrees): 7.900 7.900 7.968 109.59 109.56 108.92
Positions (direct):
Sb 0.506 0.841 0.661
Sb 0.341 0.495 0.161
Sb 0.334 0.180 0.839
Sb 0.156 0.666 0.822
Sb 0.841 0.661 0.502
Sb 0.820 0.156 0.661
Sb 0.494 0.159 0.339
Sb 0.659 0.505 0.839
Sb 0.180 0.844 0.339
Sb 0.159 0.339 0.498
Sb 0.844 0.334 0.178
Sb 0.666 0.820 0.161
Ru 0.000 0.500 0.000
Ru 0.500 0.000 0.000
Ni 0.000 0.000 0.500
Ni 0.500 0.500 0.500

---

# 4
First-principles (meta-GGA SCAN) data for NiSbRu2 at its PBEsol-relaxed geometry, as listed in Alexandria via LeMat-Bulk.

Properties
symmetry	Pmm2 (25)
uncorrected formation energy	0.22	eV per atom
V	14.4	Å³ per atom
total magnetization	0.0	Bohr magnetons per cell

Lattice parameters (Å, degrees): 2.877 3.676 5.428 90.00 90.00 90.00
Positions (direct):
Ru 0.000 0.500 0.226
Ru 0.500 0.000 0.998
Sb 0.500 0.000 0.512
Ni 0.000 0.500 0.764

---

# 5
First-principles (meta-GGA SCAN) data for NiSbRu2 at its PBEsol-relaxed geometry, as listed in Alexandria via LeMat-Bulk.

Properties
symmetry	I-4m2 (119)
uncorrected formation energy	0.15	eV per atom
V	14.1	Å³ per atom
total magnetization	0.0	Bohr magnetons per cell

Lattice parameters (Å, degrees): 3.865 3.865 4.662 114.49 114.49 90.00
Positions (direct):
Ru 0.500 0.500 0.000
Ru 0.750 0.250 0.500
Sb 0.000 0.000 0.000
Ni 0.250 0.750 0.500

---

# 6
First-principles (meta-GGA SCAN) data for Y2NiSbRu at its PBEsol-relaxed geometry, as listed in Alexandria via LeMat-Bulk.

Properties
symmetry	P4/mmm (123)
uncorrected formation energy	-0.17	eV per atom
V	22.7	Å³ per atom
total magnetization	0.0	Bohr magnetons per cell

Lattice parameters (Å, degrees): 4.372 5.100 5.100 90.00 90.00 90.00
Positions (direct):
Ni 0.000 0.000 0.000
Sb 0.500 0.500 0.500
Y 0.000 0.500 0.000
Y 0.000 0.000 0.500
Ru 0.500 0.000 0.000

---

# 7
First-principles (meta-GGA SCAN) data for ScNiRu2 at its PBEsol-relaxed geometry, as listed in Alexandria via LeMat-Bulk.

Properties
symmetry	C2/m (12)
V	13.9	Å³ per atom
E_form	-0.035	eV per atom
total magnetization	0.0	Bohr magnetons per cell

Lattice parameters (Å, degrees): 2.722 4.698 5.082 115.86 102.87 95.60
Positions (direct):
Ru 0.500 0.500 0.500
Ru 0.000 0.000 0.500
Ni 0.000 0.500 0.000
Sc 0.500 0.000 0.000

---

# 8
First-principles (meta-GGA SCAN) data for ScNiRu2 at its PBEsol-relaxed geometry, as listed in Alexandria via LeMat-Bulk.

Properties
symmetry	I4/mmm (139)
V	13.9	Å³ per atom
E_form	-0.015	eV per atom
total magnetization	0.0	Bohr magnetons per cell

Lattice parameters (Å, degrees): 3.795 3.795 4.709 113.77 113.77 90.00
Positions (direct):
Ru 0.750 0.250 0.500
Ru 0.250 0.750 0.500
Ni 0.000 0.000 0.000
Sc 0.500 0.500 0.000

---

# 9
First-principles (meta-GGA SCAN) data for ScNiRu at its PBEsol-relaxed geometry, as listed in Alexandria via LeMat-Bulk.

Properties
symmetry	P3m1 (156)
V	14.6	Å³ per atom
E_form	0.171	eV per atom
total magnetization	0.7	Bohr magnetons per cell

Lattice parameters (Å, degrees): 2.874 2.874 6.133 90.00 90.00 120.00
Each line ends with the local moment (μB).
Positions (direct):
Ni 0.000 0.000 0.995  0.38
Sc 0.667 0.333 0.332  -0.09
Ru 0.333 0.667 0.674  0.48

---

# 10
First-principles (meta-GGA SCAN) data for ScNi6Ru at its PBEsol-relaxed geometry, as listed in Alexandria via LeMat-Bulk.

Properties
symmetry	Cmmm (65)
V	11.6	Å³ per atom
E_form	-0.116	eV per atom
total magnetization	18.2	Bohr magnetons per cell

Lattice parameters (Å, degrees): 6.232 6.232 10.180 90.00 90.00 109.60
Each line ends with the local moment (μB).
Positions (direct):
Ni 0.120 0.367 0.871  0.39
Ni 0.884 0.629 0.378  0.78
Ni 0.367 0.120 0.129  0.39
Ni 0.629 0.884 0.622  0.78
Ni 0.245 0.755 0.743  0.64
Ni 0.633 0.880 0.871  0.39
Ni 0.371 0.116 0.378  0.78
Ni 0.500 0.500 0.000  0.07
Ni 0.500 0.500 0.500  0.67
Ni 0.629 0.884 0.378  0.78
Ni 0.245 0.755 0.257  0.64
Ni 0.116 0.371 0.378  0.78
Ni 0.120 0.367 0.129  0.39
Ni 0.755 0.245 0.743  0.64
Ni 0.755 0.245 0.257  0.64
Ni 0.000 0.000 0.000  0.47
Ni 0.633 0.880 0.129  0.39
Ni 0.880 0.633 0.129  0.39
Ni 0.000 0.000 0.500  0.91
Ni 0.116 0.371 0.622  0.78
Ni 0.367 0.120 0.871  0.39
Ni 0.371 0.116 0.622  0.78
Ni 0.884 0.629 0.622  0.78
Ni 0.880 0.633 0.871  0.39
Sc 0.252 0.748 0.000  -0.14
Sc 0.500 0.500 0.750  -0.18
Sc 0.748 0.252 0.000  -0.14
Sc 0.500 0.500 0.250  -0.18
Ru 0.000 0.000 0.749  1.63
Ru 0.741 0.259 0.500  1.76
Ru 0.000 0.000 0.251  1.63
Ru 0.259 0.741 0.500  1.76

---

# 11
First-principles (meta-GGA SCAN) data for ScTa2NiRu at its PBEsol-relaxed geometry, as listed in Alexandria via LeMat-Bulk.

Properties
symmetry	P4/mmm (123)
V	18.7	Å³ per atom
E_form	2.040	eV per atom
total magnetization	0.9	Bohr magnetons per cell

Lattice parameters (Å, degrees): 4.359 4.632 4.632 90.00 90.00 90.00
Each line ends with the local moment (μB).
Positions (direct):
Ni 0.500 0.500 0.500  1.10
Ta 0.000 0.000 0.500  0.06
Ta 0.000 0.500 0.000  0.06
Sc 0.000 0.000 0.000  0.01
Ru 0.500 0.000 0.000  -0.24

---

# 12
First-principles (meta-GGA SCAN) data for NiRu2Se at its PBEsol-relaxed geometry, as listed in Alexandria via LeMat-Bulk.

Properties
symmetry	P4/mmm (123)
uncorrected formation energy	0.33	eV per atom
V	13.0	Å³ per atom
total magnetization	0.0	Bohr magnetons per cell

Lattice parameters (Å, degrees): 3.010 4.157 4.157 90.00 90.00 90.00
Positions (direct):
Ru 0.000 0.000 0.500
Ru 0.000 0.500 0.000
Se 0.500 0.500 0.500
Ni 0.500 0.000 0.000

---

> Which formula does entry 7 have?

ScNiRu2

---

> The highest total magnetization belongs to which entry?

ScNi6Ru

---

> Which value of V does entry 4 give?

14.4 Å³ per atom